Record 1
DFT (PBE) results for a geometry-optimized MgMnHPd2 structure.

The structure belongs to space group P4/mmm (No. 123); the cell edges are 4.1049, 4.1049 and 3.8063 Å and the angles 90.00°, 90.00° and 90.00°. The asymmetric unit holds Mg at (0.0000, 0.0000, 0.0000), Mn at (0.5000, 0.5000, 0.0000), H at (0.5000, 0.5000, 0.5000) and Pd at (0.0000, 0.5000, 0.5000).

Its density of states at the Fermi level is 2.56 states/eV/f.u. The total energy comes out at -5.210 eV per atom.

Record 2
DFT (PBE) results for a geometry-optimized Mg2MnHRh structure.

The structure belongs to space group P4/mmm (No. 123); the cell edges are 4.3632, 4.3632 and 3.5571 Å and the angles 90.00°, 90.00° and 90.00°. The asymmetric unit holds Mg at (0.0000, 0.5000, 0.0000), Mn at (0.0000, 0.0000, 0.5000), H at (0.5000, 0.5000, 0.0000) and Rh at (0.5000, 0.5000, 0.5000).

Its density of states at the Fermi level is 1.82 states/eV/f.u. The total energy comes out at -4.719 eV per atom. The calculation puts the energy relative to the lowest polymorph listed for this composition at 30 meV per atom.

Record 3
DFT (PBE) results for a geometry-optimized Mg2MnHRh structure.

The structure belongs to space group P4/mmm (No. 123); the cell edges are 4.3711, 4.3711 and 3.4115 Å and the angles 90.00°, 90.00° and 90.00°. The asymmetric unit holds Mg at (0.0000, 0.5000, 0.0000), Mn at (0.0000, 0.0000, 0.5000), H at (0.0000, 0.0000, 0.0000) and Rh at (0.5000, 0.5000, 0.5000).

Its density of states at the Fermi level is 3.19 states/eV/f.u. The total energy comes out at -4.749 eV per atom. The calculation puts the energy relative to the lowest polymorph listed for this composition at 0 meV per atom.

Record 4
DFT (PBE) results for a geometry-optimized MgSc2MnH structure.

The structure belongs to space group P4/mmm (No. 123); the cell edges are 4.6041, 4.6041 and 3.7884 Å and the angles 90.00°, 90.00° and 90.00°. The asymmetric unit holds Mg at (0.0000, 0.0000, 0.0000), Sc at (0.0000, 0.5000, 0.5000), Mn at (0.5000, 0.5000, 0.0000) and H at (0.5000, 0.5000, 0.5000).

Its density of states at the Fermi level is 5.28 states/eV/f.u. The total energy comes out at -5.433 eV per atom.

Record 5
DFT (PBE) results for a geometry-optimized MgMnSn2H structure.

The structure belongs to space group P4/mmm (No. 123); the cell edges are 4.9366, 4.9366 and 3.3799 Å and the angles 90.00°, 90.00° and 90.00°. The asymmetric unit holds Mg at (0.0000, 0.0000, 0.0000), Mn at (0.5000, 0.5000, 0.0000), Sn at (0.0000, 0.5000, 0.5000) and H at (0.5000, 0.5000, 0.5000).

Its density of states at the Fermi level is 2.59 states/eV/f.u. The total energy comes out at -4.205 eV per atom.

Record 6
DFT (PBE) results for a geometry-optimized Mg2MnSnH structure.

The structure belongs to space group P4/mmm (No. 123); the cell edges are 4.4012, 4.4012 and 4.0572 Å and the angles 90.00°, 90.00° and 90.00°. The asymmetric unit holds Mg at (0.0000, 0.5000, 0.0000), Mn at (0.0000, 0.0000, 0.5000), Sn at (0.5000, 0.5000, 0.5000) and H at (0.0000, 0.0000, 0.0000).

Its density of states at the Fermi level is 2.48 states/eV/f.u. The total energy comes out at -3.914 eV per atom.

Record 7
DFT (PBE) results for a geometry-optimized YMg2MnH structure.

The structure belongs to space group P4/mmm (No. 123); the cell edges are 4.4420, 4.4420 and 4.5946 Å and the angles 90.00°, 90.00° and 90.00°. The asymmetric unit holds Y at (0.0000, 0.0000, 0.0000), Mg at (0.0000, 0.5000, 0.5000), Mn at (0.5000, 0.5000, 0.0000) and H at (0.0000, 0.0000, 0.5000).

Its density of states at the Fermi level is 4.30 states/eV/f.u. The total energy comes out at -4.391 eV per atom.

Record 8
DFT (PBE) results for a geometry-optimized MgMn2ZnH structure.

The structure belongs to space group P4/mmm (No. 123); the cell edges are 3.8140, 3.8140 and 4.0945 Å and the angles 90.00°, 90.00° and 90.00°. The asymmetric unit holds Mg at (0.0000, 0.0000, 0.0000), Mn at (0.0000, 0.5000, 0.5000), Zn at (0.5000, 0.5000, 0.0000) and H at (0.0000, 0.0000, 0.5000).

Its density of states at the Fermi level is 3.02 states/eV/f.u. The total energy comes out at -4.844 eV per atom.

Record 9
DFT (PBE) results for a geometry-optimized MgMnZnH6 structure.

The structure belongs to space group P-31c (No. 163); the cell edges are 4.4555, 4.4555 and 8.3740 Å and the angles 90.00°, 90.00° and 120.00°. The asymmetric unit holds Mg at (0.0000, 0.0000, 0.0000), Mn at (0.3333, 0.6667, 0.2500), Zn at (0.3333, 0.6667, 0.7500) and H at (0.0420, 0.3992, 0.1233).

Its density of states at the Fermi level is 4.38 states/eV/f.u. The total energy comes out at -3.551 eV per atom.

Record 10
DFT (PBE) results for a geometry-optimized MgZr2MnH structure.

The structure belongs to space group P4/mmm (No. 123); the cell edges are 4.6720, 4.6720 and 3.5071 Å and the angles 90.00°, 90.00° and 90.00°. The asymmetric unit holds Mg at (0.0000, 0.0000, 0.0000), Zr at (0.0000, 0.5000, 0.5000), Mn at (0.5000, 0.5000, 0.0000) and H at (0.5000, 0.5000, 0.5000).

Its density of states at the Fermi level is 2.72 states/eV/f.u. The total energy comes out at -6.282 eV per atom.

Record 11
DFT (PBE) results for a geometry-optimized MgMoH2 structure.

The structure belongs to space group R3m (No. 160, hexagonal axes); the cell edges are 3.0315, 3.0315 and 15.5187 Å and the angles 90.00°, 90.00° and 120.00°. The asymmetric unit holds Mg at (0.0000, 0.0000, 0.0000), Mo at (0.0000, 0.0000, 0.1818), H at (0.0000, 0.0000, 0.5664) and H at (0.0000, 0.0000, 0.7912).

Its density of states at the Fermi level is 2.22 states/eV/f.u. The total energy comes out at -4.673 eV per atom. The calculation puts the energy relative to the lowest polymorph listed for this composition at 6 meV per atom.

Record 12
DFT (PBE) results for a geometry-optimized Mg2MoH6 structure.

The structure belongs to space group P4/mnc (No. 128); the cell edges are 4.9048, 4.9048 and 6.9301 Å and the angles 90.00°, 90.00° and 90.00°. The asymmetric unit holds Mg at (0.0000, 0.5000, 0.2500), Mo at (0.0000, 0.0000, 0.0000), H at (0.0000, 0.0000, 0.2612) and H at (0.1744, 0.3255, 0.5000).

Its density of states at the Fermi level is 2.05 states/eV/f.u. The total energy comes out at -3.801 eV per atom. The calculation puts the energy relative to the lowest polymorph listed for this composition at 0 meV per atom.

Record 13
DFT (PBE) results for a geometry-optimized MgMoH2 structure.

The structure belongs to space group Fm-3m (No. 225); the cell edges are 5.3385, 5.3385 and 5.3385 Å and the angles 90.00°, 90.00° and 90.00°. The asymmetric unit holds Mg at (0.0000, 0.0000, 0.0000), Mo at (0.0000, 0.0000, 0.5000) and H at (0.2500, 0.2500, 0.2500).

Its density of states at the Fermi level is 3.82 states/eV/f.u. The total energy comes out at -4.077 eV per atom. The calculation puts the energy relative to the lowest polymorph listed for this composition at 602 meV per atom.

Record 14
DFT (PBE) results for a geometry-optimized Mg3MoH8 structure.

The structure belongs to space group Pm-3m (No. 221); the cell edges are 4.5704, 4.5704 and 4.5704 Å and the angles 90.00°, 90.00° and 90.00°. The asymmetric unit holds Mg at (0.0000, 0.0000, 0.5000), Mo at (0.5000, 0.5000, 0.5000) and H at (0.2616, 0.2616, 0.2616).

Its density of states at the Fermi level is 2.04 states/eV/f.u. The total energy comes out at -3.640 eV per atom.

Record 15
DFT (PBE) results for a geometry-optimized Mg4MoH6 structure.

The structure belongs to space group R-3c (No. 167, hexagonal axes); the cell edges are 8.4289, 8.4289 and 11.4031 Å and the angles 90.00°, 90.00° and 120.00°. The asymmetric unit holds Mg at (0.0000, 0.0000, 0.2500), Mg at (0.0000, 0.3753, 0.2500), Mo at (0.0000, 0.0000, 0.0000) and H at (0.0583, 0.2183, 0.4213).

Its density of states at the Fermi level is 5.04 states/eV/f.u. The total energy comes out at -3.390 eV per atom.

Record 16
DFT (PBE) results for a geometry-optimized Mg3MoH6 structure.

The structure belongs to space group R-3 (No. 148, hexagonal axes); the cell edges are 8.2662, 8.2662 and 9.6706 Å and the angles 90.00°, 90.00° and 120.00°. The asymmetric unit holds Mg at (0.0463, 0.7937, 0.2085), Mo at (0.0000, 0.0000, 0.0000), Mo at (0.0000, 0.0000, 0.5000), H at (0.0262, 0.8178, 0.4087) and H at (0.0402, 0.8357, 0.8992).

The total energy comes out at -3.713 eV per atom.

Record 17
DFT (PBE) results for a geometry-optimized Mg2MoH6 structure.

The structure belongs to space group Fm-3m (No. 225); the cell edges are 6.8705, 6.8705 and 6.8705 Å and the angles 90.00°, 90.00° and 90.00°. The asymmetric unit holds Mg at (0.2500, 0.2500, 0.2500), Mo at (0.0000, 0.0000, 0.0000) and H at (0.0000, 0.0000, 0.2622).

Its density of states at the Fermi level is 1.78 states/eV/f.u. The total energy comes out at -3.778 eV per atom. The calculation puts the energy relative to the lowest polymorph listed for this composition at 23 meV per atom.

Record 18
DFT (PBE) results for a geometry-optimized Mg2MoH structure.

The structure belongs to space group I-42d (No. 122); the cell edges are 5.6140, 5.6140 and 7.5131 Å and the angles 90.00°, 90.00° and 90.00°. The asymmetric unit holds Mg at (0.0934, 0.2500, 0.1250), Mo at (0.0000, 0.0000, 0.5000) and H at (0.0000, 0.0000, 0.0000).

Its density of states at the Fermi level is 1.10 states/eV/f.u. The total energy comes out at -3.711 eV per atom. The calculation puts the energy relative to the lowest polymorph listed for this composition at 0 meV per atom.

Record 19
DFT (PBE) results for a geometry-optimized MgMoH3 structure.

The structure belongs to space group Pm-3m (No. 221); the cell edges are 3.5685, 3.5685 and 3.5685 Å and the angles 90.00°, 90.00° and 90.00°. The asymmetric unit holds Mg at (0.0000, 0.0000, 0.0000), Mo at (0.5000, 0.5000, 0.5000) and H at (0.0000, 0.5000, 0.5000).

Its density of states at the Fermi level is 1.67 states/eV/f.u. The total energy comes out at -4.440 eV per atom. The calculation puts the energy relative to the lowest polymorph listed for this composition at 0 meV per atom.

Record 20
DFT (PBE) results for a geometry-optimized MgMoH2 structure.

The structure belongs to space group I-42d (No. 122); the cell edges are 4.8963, 4.8963 and 6.6867 Å and the angles 90.00°, 90.00° and 90.00°. The asymmetric unit holds Mg at (0.0000, 0.0000, 0.0000), Mo at (0.0000, 0.0000, 0.5000) and H at (0.2179, 0.2500, 0.6250).

Its density of states at the Fermi level is 2.12 states/eV/f.u. The total energy comes out at -4.679 eV per atom. The calculation puts the energy relative to the lowest polymorph listed for this composition at 0 meV per atom.